No. 1
# NaTlCdIn

A relaxed NaTlCdIn crystal (PBE-GGA, Alexandria).

Values from the calculation:
Total moment in μB per formula unit: 0.0
Formation energy in eV/atom: -0.06
Symmetry: F-43m (216)

```
NaTlCdIn
1.0
-4.0384 1.3719 -3.1562
-4.9674 -1.3112 1.3261
-3.4140 3.7577 1.5418
Na Tl Cd In
1 1 1 1
Direct
0.0000 0.0000 0.0000 Na
0.2500 0.2500 0.2500 Tl
0.7500 0.7500 0.7500 Cd
0.5000 0.5000 0.5000 In
```


No. 2
# NaTl2CdIn

A relaxed NaTl2CdIn crystal (PBE-GGA, Alexandria).

Values from the calculation:
Total moment in μB per formula unit: 0.0
Formation energy in eV/atom: -0.01
Symmetry: Cmcm (63)

```
NaTl2CdIn
1.0
-2.7571 -0.1861 -1.9901
-2.3476 -4.6673 6.6025
-3.8607 8.3975 4.5635
Na Tl Cd In
2 4 2 2
Direct
0.8447 0.6894 0.7500 Na
0.1553 0.3106 0.2500 Na
0.1813 0.3627 0.9069 Tl
0.8187 0.6373 0.0931 Tl
0.1813 0.3627 0.5931 Tl
0.8187 0.6373 0.4069 Tl
0.0000 0.0000 0.0000 Cd
0.0000 0.0000 0.5000 Cd
0.5250 0.0500 0.7500 In
0.4750 0.9500 0.2500 In
```


No. 3
# Na2TlCd2In2

A relaxed Na2TlCd2In2 crystal (PBE-GGA, Alexandria).

Values from the calculation:
Total moment in μB per formula unit: 0.0
Formation energy in eV/atom: -0.04
Symmetry: R-3m (166)

```
Na2TlCd2In2
1.0
-1.2740 2.7836 -4.2171
0.5130 -2.0825 -4.7493
-7.8172 -2.5899 -2.5676
Na Tl Cd In
2 1 2 2
Direct
0.1365 0.1365 0.5904 Na
0.8635 0.8635 0.4096 Na
0.0000 0.0000 0.0000 Tl
0.5811 0.5811 0.2566 Cd
0.4189 0.4189 0.7434 Cd
0.7254 0.7254 0.8238 In
0.2746 0.2746 0.1762 In
```


No. 4
# NaTl2CdIn2

A relaxed NaTl2CdIn2 crystal (PBE-GGA, Alexandria).

Values from the calculation:
Total moment in μB per formula unit: 0.0
Formation energy in eV/atom: -0.03
Symmetry: Pmma (51)

```
NaTl2CdIn2
1.0
-1.1278 -2.7547 4.7579
-2.6761 -5.0666 -3.5678
7.9238 -3.9127 -0.3871
Na Tl Cd In
2 4 2 4
Direct
0.0000 0.0074 0.5000 Na
0.0000 0.5074 0.5000 Na
0.5000 0.0078 0.0002 Tl
0.0000 0.2578 0.1716 Tl
0.5000 0.5078 0.9998 Tl
0.0000 0.7578 0.8284 Tl
0.5000 0.2572 0.6756 Cd
0.5000 0.7572 0.3244 Cd
0.0000 0.2578 0.8254 In
0.5000 0.2577 0.3388 In
0.0000 0.7578 0.1746 In
0.5000 0.7577 0.6612 In
```


What did the second record say?
# NaTl2CdIn

A relaxed NaTl2CdIn crystal (PBE-GGA, Alexandria).

Values from the calculation:
Total moment in μB per formula unit: 0.0
Formation energy in eV/atom: -0.01
Symmetry: Cmcm (63)

```
NaTl2CdIn
1.0
-2.7571 -0.1861 -1.9901
-2.3476 -4.6673 6.6025
-3.8607 8.3975 4.5635
Na Tl Cd In
2 4 2 2
Direct
0.8447 0.6894 0.7500 Na
0.1553 0.3106 0.2500 Na
0.1813 0.3627 0.9069 Tl
0.8187 0.6373 0.0931 Tl
0.1813 0.3627 0.5931 Tl
0.8187 0.6373 0.4069 Tl
0.0000 0.0000 0.0000 Cd
0.0000 0.0000 0.5000 Cd
0.5250 0.0500 0.7500 In
0.4750 0.9500 0.2500 In
```


Look up the formation energy of the third one.
-0.04 eV/atom